Material: Ce2B3C4
Method: DFT, PBE
State: relaxed

```
Ce2B3C4
1.0
2.6790 -6.4861 0.0000
2.6790 6.4861 0.0000
0.0000 0.0000 5.6536
Ce B C
4 6 8
direct
0.1334 0.8666 0.8902 Ce
0.3666 0.6334 0.3902 Ce
0.6334 0.3666 0.6098 Ce
0.8666 0.1334 0.1098 Ce
0.0000 0.0000 0.5000 B
0.1196 0.3804 0.7500 B
0.3804 0.1196 0.2500 B
0.5000 0.5000 0.0000 B
0.6196 0.8804 0.7500 B
0.8804 0.6196 0.2500 B
0.1736 0.8264 0.3744 C
0.2376 0.2624 0.7500 C
0.2624 0.2376 0.2500 C
0.3264 0.6736 0.8744 C
0.6736 0.3264 0.1256 C
0.7376 0.7624 0.7500 C
0.7624 0.7376 0.2500 C
0.8264 0.1736 0.6256 C
```

Properties
E_form in eV per atom: 0.48
Total moment in μB per atom: 0.024

Material: CrTc2Ir
Method: DFT, PBE
State: relaxed

```
CrTc2Ir
1.0
2.7015 0.0000 0.0000
0.0000 3.7937 0.0000
0.0000 0.0000 5.4434
Cr Tc Ir
1 2 1
direct
0.0000 0.0000 0.0000 Cr
0.0000 0.0000 0.5013 Tc
0.5000 0.5000 0.7517 Tc
0.5000 0.5000 0.2339 Ir
```

Properties
E_form in eV per atom: -0.02
Relative energy among the computed polymorphs in meV/atom: 34
Total moment in μB per atom: 0.072

Material: HoAg3Pd4
Method: DFT, PBE
State: relaxed

```
HoAg3Pd4
1.0
7.9012 -2.1382 0.0000
7.9012 2.1382 0.0000
-1.1517 0.0000 4.1186
Ho Ag Pd
1 3 4
direct
0.0000 0.0000 0.0000 Ho
0.2514 0.2514 0.2512 Ag
0.5000 0.5000 0.5000 Ag
0.7486 0.7486 0.7488 Ag
0.1262 0.1262 0.6262 Pd
0.3738 0.3738 0.8737 Pd
0.6262 0.6262 0.1263 Pd
0.8738 0.8738 0.3738 Pd
```

Properties
E_form in eV per atom: -0.40
Total moment in μB per atom: 0.000

Material: Ho5Al3Zn12
Method: DFT, PBE
State: relaxed

```
Ho5Al3Zn12
1.0
-7.9314 7.9314 7.9314
7.9314 -7.9314 7.9314
7.9314 7.9314 -7.9314
Ho Al Zn
20 12 48
direct
0.0000 0.0000 0.0000 Ho
0.0000 0.0000 0.5000 Ho
0.0000 0.5000 0.0000 Ho
0.0000 0.5000 0.5000 Ho
0.1250 0.7500 0.8750 Ho
0.1250 0.8750 0.2500 Ho
0.2500 0.1250 0.8750 Ho
0.2500 0.6250 0.3750 Ho
0.3750 0.2500 0.6250 Ho
0.3750 0.6250 0.7500 Ho
0.5000 0.0000 0.0000 Ho
0.5000 0.0000 0.5000 Ho
0.5000 0.5000 0.0000 Ho
0.5000 0.5000 0.5000 Ho
0.6250 0.3750 0.2500 Ho
0.6250 0.7500 0.3750 Ho
0.7500 0.3750 0.6250 Ho
0.7500 0.8750 0.1250 Ho
0.8750 0.1250 0.7500 Ho
0.8750 0.2500 0.1250 Ho
0.1250 0.2500 0.3750 Al
0.1250 0.3750 0.7500 Al
0.2500 0.3750 0.1250 Al
0.2500 0.8750 0.6250 Al
0.3750 0.1250 0.2500 Al
0.3750 0.7500 0.1250 Al
0.6250 0.2500 0.8750 Al
0.6250 0.8750 0.7500 Al
0.7500 0.1250 0.3750 Al
0.7500 0.6250 0.8750 Al
0.8750 0.6250 0.2500 Al
0.8750 0.7500 0.6250 Al
0.0668 0.6551 0.4143 Zn
0.0668 0.9117 0.6525 Zn
0.0857 0.7408 0.6525 Zn
0.0857 0.8449 0.4332 Zn
0.0883 0.2408 0.1551 Zn
0.0883 0.3475 0.9332 Zn
0.1525 0.2408 0.5857 Zn
0.1525 0.4117 0.5668 Zn
0.1551 0.0883 0.2408 Zn
0.1551 0.5668 0.9143 Zn
0.2408 0.1551 0.0883 Zn
0.2408 0.5857 0.1525 Zn
0.2592 0.3475 0.9143 Zn
0.2592 0.4117 0.3449 Zn
0.3449 0.2592 0.4117 Zn
0.3449 0.5857 0.9332 Zn
0.3475 0.9143 0.2592 Zn
0.3475 0.9332 0.0883 Zn
0.4117 0.3449 0.2592 Zn
0.4117 0.5668 0.1525 Zn
0.4143 0.0668 0.6551 Zn
0.4143 0.8475 0.7592 Zn
0.4332 0.0857 0.8449 Zn
0.4332 0.8475 0.5883 Zn
0.5668 0.1525 0.4117 Zn
0.5668 0.9143 0.1551 Zn
0.5857 0.1525 0.2408 Zn
0.5857 0.9332 0.3449 Zn
0.5883 0.4332 0.8475 Zn
0.5883 0.6551 0.7408 Zn
0.6525 0.0668 0.9117 Zn
0.6525 0.0857 0.7408 Zn
0.6551 0.4143 0.0668 Zn
0.6551 0.7408 0.5883 Zn
0.7408 0.5883 0.6551 Zn
0.7408 0.6525 0.0857 Zn
0.7592 0.4143 0.8475 Zn
0.7592 0.8449 0.9117 Zn
0.8449 0.4332 0.0857 Zn
0.8449 0.9117 0.7592 Zn
0.8475 0.5883 0.4332 Zn
0.8475 0.7592 0.4143 Zn
0.9117 0.6525 0.0668 Zn
0.9117 0.7592 0.8449 Zn
0.9143 0.1551 0.5668 Zn
0.9143 0.2592 0.3475 Zn
0.9332 0.0883 0.3475 Zn
0.9332 0.3449 0.5857 Zn
```

Properties
E_form in eV per atom: 0.30
Total moment in μB per atom: 0.000

Material: Sc3ZnN
Method: DFT, PBE
State: relaxed

```
Sc3ZnN
1.0
6.2886 -1.6221 0.0000
6.2886 1.6221 0.0000
-2.7669 0.0000 8.7034
Sc Zn N
6 2 2
direct
0.0389 0.0389 0.3538 Sc
0.2873 0.2873 0.3756 Sc
0.3844 0.3844 0.8847 Sc
0.6156 0.6156 0.1153 Sc
0.7127 0.7127 0.6244 Sc
0.9611 0.9611 0.6462 Sc
0.1587 0.1587 0.8805 Zn
0.8413 0.8413 0.1195 Zn
0.3406 0.3406 0.6352 N
0.6594 0.6594 0.3648 N
```

Properties
ΔE_f (raw) in meV/atom: -761
Total moment in μB per atom: 0.000

Material: LiCeBr6
Method: DFT, PBE
State: relaxed

```
LiCeBr6
1.0
6.3684 0.0000 0.0000
2.2399 5.9985 0.0000
2.6944 1.8507 6.7868
Li Ce Br
1 1 6
direct
0.0000 0.0000 0.0000 Li
0.5000 0.5000 0.5000 Ce
0.0843 0.4013 0.7668 Br
0.2484 0.8974 0.2730 Br
0.4228 0.7506 0.7634 Br
0.5772 0.2494 0.2366 Br
0.7516 0.1026 0.7270 Br
0.9157 0.5987 0.2332 Br
```

Properties
Relative energy among the computed polymorphs in meV/atom: 14
ΔE_f (raw) in meV/atom: -1225
Total moment in μB per atom: 0.000

Material: BaSrAg2H6
Method: DFT, PBE
State: relaxed

```
BaSrAg2H6
1.0
4.4724 -5.2861 0.0000
4.4724 5.2861 0.0000
-2.2096 0.0000 6.5015
Ba Sr Ag H
2 2 4 12
direct
0.1693 0.8307 0.7500 Ba
0.8307 0.1693 0.2500 Ba
0.4233 0.5767 0.2500 Sr
0.5767 0.4233 0.7500 Sr
0.0665 0.3292 0.8277 Ag
0.3292 0.0665 0.3277 Ag
0.6708 0.9335 0.6723 Ag
0.9335 0.6708 0.1723 Ag
0.0898 0.5760 0.3498 H
0.1479 0.2032 0.0195 H
0.2032 0.1479 0.5195 H
0.3110 0.5413 0.8874 H
0.4240 0.9102 0.1502 H
0.4587 0.6890 0.6126 H
0.5413 0.3110 0.3874 H
0.5760 0.0898 0.8498 H
0.6890 0.4587 0.1126 H
0.7968 0.8521 0.4805 H
0.8521 0.7968 0.9805 H
0.9102 0.4240 0.6502 H
```

Properties
Total moment in μB per atom: 0.000

Material: LaCe2Ge4
Method: DFT, PBE
State: relaxed

```
LaCe2Ge4
1.0
-2.0602 2.2307 9.2854
2.0602 -2.2307 9.2854
2.0602 2.2307 -9.2854
La Ce Ge
1 2 4
direct
0.0000 0.0000 0.0000 La
0.1814 0.6814 0.5000 Ce
0.8186 0.3186 0.5000 Ce
0.3435 0.8435 0.5000 Ge
0.4318 0.4318 0.0000 Ge
0.5682 0.5682 0.0000 Ge
0.6565 0.1565 0.5000 Ge
```

Properties
E_form in eV per atom: -0.71
Total moment in μB per atom: 0.202

Values of VASP energy, in order: -7.162; -9.821; -4.637; -2.168; -6.480; -3.461; -3.209; -5.753, all in eV/atom.